# Dy5Al2Sb

A relaxed structure of Dy5Al2Sb (PBE-GGA, Alexandria).

It has space group I4/mcm (No. 140), with a = 8.209 Å, b = 8.209 Å, c = 12.726 Å, α = 90.00°, β = 90.00° and γ = 90.00°. Symmetry generates all atoms from Dy at (0.000, 0.000, 0.000), Dy at (0.158, 0.342, 0.146), Al at (0.138, 0.362, 0.500) and Sb at (0.000, 0.000, 0.250).

The uncorrected formation energy is -0.508 eV/atom. As for the crystal system: tetragonal. The total magnetization is 0.00 μB/atom.